Mn2TeMo: relaxed, PBE.

Calculated values
The total moment is 5.6 μB/f.u. As for the raw total energy: -7.758 eV per atom. Its space-group type is P4mm.

Lattice parameters (Å, degrees): 3.3462 3.3462 5.7361 90.00 90.00 90.00
Last column: nearest neighbours and their distance in Å.
Fractional positions:
Mn 0.0000 0.0000 0.0000  1 Mo 2.58, 4 Mn 2.67, 4 Te 2.82
Mn 0.5000 0.5000 0.2161  4 Mn 2.67, 4 Mo 2.72, 2 Te 2.77-2.97
Te 0.5000 0.5000 0.7334  6 Mn 2.77-2.97, 4 Mo 2.87
Mo 0.0000 0.0000 0.4500  5 Mn 2.58-2.72, 4 Te 2.87